Entry 1:
A plane-wave DFT calculation with GGA-PBE was carried out for a relaxed structure of ZrTa2Pt.

Lattice parameters (Å, degrees): 3.451 4.503 4.713 90.00 90.00 90.00
Space group Pmmm (No. 47)
One atom of each set of equivalent atoms:
1 Zr 0.000 0.000 0.000 [1 per cell]
2 Ta 0.000 0.500 0.500 [1 per cell]
3 Ta 0.500 0.000 0.500 [1 per cell]
4 Pt 0.500 0.500 0.000 [1 per cell]

Spin magnetization (μB per atom): 0.0000
Calculated formation energy (eV per atom): -0.3517

***

Entry 2:
A plane-wave DFT calculation with GGA-PBE was carried out for a relaxed structure of TaV12Tc6.

Lattice parameters (Å, degrees): 10.8286 10.8286 8.6662 90.00 90.00 120.00
Space group R-3m (No. 166, hexagonal axes)
One atom of each set of equivalent atoms:
1 Ta 0.0000 0.0000 0.0000 [3 per cell]
2 V 0.0000 0.3891 0.5000 [18 per cell]
3 V 0.0831 0.1663 0.2927 [18 per cell]
4 Tc 0.0579 0.5290 0.2365 [18 per cell]

Spin magnetization (μB per atom): 0.0000
Calculated formation energy (eV per atom): 0.3798

***

Entry 3:
A plane-wave DFT calculation with GGA-PBE was carried out for a relaxed structure of PmSnAu2.

Lattice parameters (Å, degrees): 7.145 7.145 7.145 90.00 90.00 90.00
Space group Fm-3m (No. 225)
One atom of each set of equivalent atoms:
1 Pm 0.000 0.000 0.000 [4 per cell]
2 Sn 0.000 0.000 0.500 [4 per cell]
3 Au 0.250 0.250 0.250 [8 per cell]

Spin magnetization (μB per atom): 0.0000
Calculated formation energy (eV per atom): -0.6923

***

Entry 4:
A plane-wave DFT calculation with GGA-PBE was carried out for a relaxed structure of Ho2Er4Se9.

Lattice parameters (Å, degrees): 7.142 7.145 19.374 89.99 89.97 60.03
Space group P-1 (No. 2)
One atom of each set of equivalent atoms:
1 Ho 0.000 0.001 0.152 [2 per cell]
2 Ho 0.001 0.999 0.347 [2 per cell]
3 Er 0.332 0.334 0.819 [2 per cell]
4 Er 0.333 0.334 0.014 [2 per cell]
5 Er 0.334 0.333 0.320 [2 per cell]
6 Er 0.334 0.333 0.514 [2 per cell]
7 Se 0.001 0.307 0.250 [2 per cell]
8 Se 0.027 0.638 0.417 [2 per cell]
9 Se 0.028 0.333 0.917 [2 per cell]
10 Se 0.306 0.000 0.750 [2 per cell]
11 Se 0.307 0.693 0.250 [2 per cell]
12 Se 0.335 0.027 0.417 [2 per cell]
13 Se 0.335 0.638 0.917 [2 per cell]
14 Se 0.361 0.666 0.583 [2 per cell]
15 Se 0.363 0.972 0.083 [2 per cell]

Spin magnetization (μB per atom): 0.0000
E_form (uncorrected) (meV/atom): -1853

***

Entry 5:
A plane-wave DFT calculation with GGA-PBE was carried out for a relaxed structure of Tb2PrEu.

Lattice parameters (Å, degrees): 6.031 6.031 3.837 90.00 90.00 90.00
Space group P4/mmm (No. 123)
One atom of each set of equivalent atoms:
1 Tb 0.000 0.500 0.000 [2 per cell]
2 Pr 0.000 0.000 0.500 [1 per cell]
3 Eu 0.500 0.500 0.500 [1 per cell]

Spin magnetization (μB per atom): 1.9083
Calculated formation energy (eV per atom): 0.1434

***

Entry 6:
A plane-wave DFT calculation with GGA-PBE was carried out for a relaxed structure of Ta2FeAs.

Lattice parameters (Å, degrees): 4.069 4.069 7.564 90.00 90.00 90.00
Space group I4/mmm (No. 139)
One atom of each set of equivalent atoms:
1 Ta 0.000 0.500 0.250 [4 per cell]
2 Fe 0.000 0.000 0.000 [2 per cell]
3 As 0.000 0.000 0.500 [2 per cell]

Spin magnetization (μB per atom): 0.4805
Calculated formation energy (eV per atom): -0.0464